Below is a relaxed structure of Ba2CoTeO6, with properties calculated at the PBE+U level.

total magnetic moment = 9.001 μB per cell
energy = -0.44561 Ry/atom

a = 5.8041 Å, b = 5.8041 Å, c = 14.2716 Å
α = 90.00°, β = 90.00°, γ = 120.00°
Space group P-3m1 (No. 164)
Asymmetric unit:
Ba (0.0000, 0.0000, 0.2490) (multiplicity 2)
Ba (0.3333, 0.6667, 0.0883) (multiplicity 2)
Ba (0.3333, 0.6667, 0.3992) (multiplicity 2)
Co (0.0000, 0.0000, 0.0000) (multiplicity 1)
Co (0.3333, 0.6667, 0.6467) (multiplicity 2)
Te (0.0000, 0.0000, 0.5000) (multiplicity 1)
Te (0.3333, 0.6667, 0.8389) (multiplicity 2)
O (0.0252, 0.5126, 0.7546) (multiplicity 6)
O (0.1574, 0.3149, 0.5800) (multiplicity 6)
O (0.1729, 0.3458, 0.9152) (multiplicity 6)